No. 1
Here is a PBEsol-optimized structure of ZnCu2Ni from the Alexandria database. Energies are from meta-GGA SCAN.

Cell lengths 3.610, 3.610, 4.329 Å; angles 114.65, 114.65, 90.00 degrees
Atoms (fractional coordinates):
Ni 0.500 0.500 0.000
Cu 0.000 0.000 0.000
Zn 0.250 0.750 0.500
Cu 0.750 0.250 0.500

Results
Formation enthalpy at 0 K: -0.086 eV per atom
DFT total energy: -15.11 eV/atom
Magnetic moment: 0.000 μB/cell

No. 2
Here is a PBEsol-optimized structure of AlOsPt4 from the Alexandria database. Energies are from meta-GGA SCAN.

Cell lengths 5.124, 5.124, 5.124 Å; angles 60.00, 60.00, 60.00 degrees
Atoms (fractional coordinates):
Pt 0.877 0.374 0.374
Pt 0.374 0.374 0.374
Al 0.750 0.750 0.750
Pt 0.374 0.374 0.877
Os 0.000 0.000 0.000
Pt 0.374 0.877 0.374

Results
Formation enthalpy at 0 K: 0.375 eV per atom
DFT total energy: -59.69 eV/atom
Magnetic moment: 0.002 μB/cell

No. 3
Here is a PBEsol-optimized structure of SbOsBr2 from the Alexandria database. Energies are from meta-GGA SCAN.

Cell lengths 3.593, 3.593, 9.371 Å; angles 78.95, 78.95, 60.00 degrees
Site moments in Bohr magnetons follow the coordinates.
Atoms (fractional coordinates):
Br 0.716 0.716 0.851  0.03
Sb 0.500 0.500 0.500  0.26
Os 0.000 0.000 0.000  0.10
Br 0.284 0.284 0.149  0.03

Results
Polymorph energy (0 for the lowest one): 40 meV/atom
DFT total energy: -36.39 eV/atom
Magnetic moment: 0.820 μB/cell
Raw formation energy: 625.7 meV/atom

No. 4
Here is a PBEsol-optimized structure of Tl2PtC4N4 from the Alexandria database. Energies are from meta-GGA SCAN.

Cell lengths 6.344, 7.238, 9.465 Å; angles 90.00, 106.04, 90.00 degrees
Atoms (fractional coordinates):
Pt 0.500 0.000 0.500
N 0.178 0.267 0.602
N 0.315 0.501 0.322
N 0.685 0.499 0.678
C 0.797 0.334 0.063
N 0.322 0.767 0.898
Pt 0.000 0.500 0.000
Tl 0.774 0.849 0.077
C 0.297 0.166 0.563
N 0.815 0.999 0.822
C 0.203 0.666 0.937
N 0.822 0.733 0.398
C 0.703 0.834 0.437
C 0.303 0.000 0.298
C 0.697 0.000 0.702
N 0.678 0.233 0.102
Tl 0.226 0.151 0.923
C 0.803 0.500 0.798
N 0.185 0.001 0.178
Tl 0.274 0.651 0.577
C 0.197 0.500 0.202
Tl 0.726 0.349 0.423

Results
DFT total energy: -26.45 eV/atom
Magnetic moment: 0.000 μB/cell
Raw formation energy: 138.8 meV/atom

No. 5
Here is a PBEsol-optimized structure of RbTi2CdB from the Alexandria database. Energies are from meta-GGA SCAN.

Cell lengths 4.385, 4.385, 5.821 Å; angles 90.00, 90.00, 90.00 degrees
Site moments in Bohr magnetons follow the coordinates.
Atoms (fractional coordinates):
Cd 0.500 0.500 0.500  0.01
B 0.000 0.000 0.000  -0.08
Ti 0.000 0.500 0.000  0.65
Ti 0.500 0.000 0.000  0.65
Rb 0.000 0.000 0.500  0.04

Results
Formation enthalpy at 0 K: 0.716 eV per atom
DFT total energy: -17.41 eV/atom
Magnetic moment: 1.778 μB/cell

No. 6
Here is a PBEsol-optimized structure of CdRuBr2 from the Alexandria database. Energies are from meta-GGA SCAN.

Cell lengths 3.548, 5.097, 6.546 Å; angles 113.21, 90.00, 110.37 degrees
Atoms (fractional coordinates):
Br 0.904 0.808 0.924
Ru 0.300 0.600 0.651
Cd 0.556 0.112 0.588
Br 0.740 0.481 0.337

Results
Polymorph energy (0 for the lowest one): 0 meV/atom
DFT total energy: -26.04 eV/atom
Magnetic moment: 0.000 μB/cell
Raw formation energy: 2.7 meV/atom

No. 7
Here is a PBEsol-optimized structure of TbWC2 from the Alexandria database. Energies are from meta-GGA SCAN.

Cell lengths 3.364, 5.687, 10.719 Å; angles 90.00, 90.00, 90.00 degrees
Atoms (fractional coordinates):
C 0.750 0.339 0.252
C 0.750 0.278 0.984
W 0.250 0.405 0.890
W 0.750 0.595 0.110
C 0.250 0.161 0.752
W 0.250 0.905 0.610
Tb 0.250 0.085 0.137
C 0.250 0.722 0.016
Tb 0.750 0.415 0.637
C 0.750 0.839 0.248
C 0.750 0.778 0.516
C 0.250 0.222 0.484
W 0.750 0.095 0.390
Tb 0.750 0.915 0.863
Tb 0.250 0.585 0.363
C 0.250 0.661 0.748

Results
Formation enthalpy at 0 K: -0.322 eV per atom
DFT total energy: -34.48 eV/atom
Magnetic moment: 0.000 μB/cell

No. 8
Here is a PBEsol-optimized structure of Na2MnBe from the Alexandria database. Energies are from meta-GGA SCAN.

Cell lengths 4.497, 7.163, 7.163 Å; angles 84.35, 71.71, 71.71 degrees
Site moments in Bohr magnetons follow the coordinates.
Atoms (fractional coordinates):
Mn 0.750 0.500 0.500  4.20
Na 0.875 0.628 0.872  -0.01
Na 0.253 0.872 0.372  -0.01
Na 0.375 0.372 0.128  -0.01
Be 0.250 0.500 0.500  -0.12
Be 0.500 0.000 0.000  -0.12
Mn 0.000 0.000 0.000  4.20
Na 0.497 0.128 0.628  -0.01

Results
Formation enthalpy at 0 K: 0.700 eV per atom
DFT total energy: -7.06 eV/atom
Magnetic moment: 8.388 μB/cell

No. 9
Here is a PBEsol-optimized structure of PrScGe from the Alexandria database. Energies are from meta-GGA SCAN.

Cell lengths 4.281, 4.281, 8.494 Å; angles 104.60, 104.60, 90.00 degrees
Site moments in Bohr magnetons follow the coordinates.
Atoms (fractional coordinates):
Sc 0.500 0.000 0.000  0.25
Ge 0.878 0.878 0.756  -0.07
Sc 0.000 0.500 0.000  0.25
Pr 0.323 0.323 0.647  0.29
Ge 0.122 0.122 0.244  -0.07
Pr 0.677 0.677 0.353  0.29

Results
Formation enthalpy at 0 K: -0.801 eV per atom
DFT total energy: -26.35 eV/atom
Magnetic moment: 1.948 μB/cell

No. 10
Here is a PBEsol-optimized structure of Ba2CdMo from the Alexandria database. Energies are from meta-GGA SCAN.

Cell lengths 3.211, 3.710, 10.836 Å; angles 93.15, 90.00, 115.64 degrees
Site moments in Bohr magnetons follow the coordinates.
Atoms (fractional coordinates):
Ba 0.739 0.479 0.771  -0.02
Mo 0.500 0.000 0.000  1.16
Cd 0.000 0.000 0.500  -0.02
Ba 0.261 0.521 0.229  -0.02

Results
Formation enthalpy at 0 K: 0.915 eV per atom
DFT total energy: -35.18 eV/atom
Magnetic moment: 0.941 μB/cell

No. 11
Here is a PBEsol-optimized structure of CdAgHg2 from the Alexandria database. Energies are from meta-GGA SCAN.

Cell lengths 3.167, 3.167, 9.603 Å; angles 80.51, 80.51, 60.00 degrees
Atoms (fractional coordinates):
Hg 0.999 0.999 0.004
Hg 0.755 0.755 0.736
Cd 0.245 0.245 0.264
Ag 0.501 0.501 0.496

Results
Formation enthalpy at 0 K: 0.041 eV per atom
DFT total energy: -49.49 eV/atom
Magnetic moment: 0.000 μB/cell

No. 12
Here is a PBEsol-optimized structure of Ba2SrSc2 from the Alexandria database. Energies are from meta-GGA SCAN.

Cell lengths 4.119, 4.119, 13.297 Å; angles 98.91, 98.91, 90.00 degrees
Site moments in Bohr magnetons follow the coordinates.
Atoms (fractional coordinates):
Ba 0.372 0.372 0.744  0.01
Sc 0.250 0.750 0.500  -0.23
Sc 0.750 0.250 0.500  -0.23
Sr 0.000 0.000 0.000  0.00
Ba 0.628 0.628 0.256  0.01

Results
Formation enthalpy at 0 K: 0.360 eV per atom
DFT total energy: -25.61 eV/atom
Magnetic moment: 0.470 μB/cell

No. 13
Here is a PBEsol-optimized structure of ZnSbMo from the Alexandria database. Energies are from meta-GGA SCAN.

Cell lengths 4.389, 4.389, 4.389 Å; angles 60.00, 60.00, 60.00 degrees
Atoms (fractional coordinates):
Sb 0.750 0.750 0.750
Zn 0.000 0.000 0.000
Mo 0.500 0.500 0.500

Results
DFT total energy: -27.82 eV/atom
Magnetic moment: 0.003 μB/cell
Raw formation energy: 736.4 meV/atom